1.
Computed, not measured: crystalline Cr2PRh at its relaxed geometry at the GGA-PBE level of DFT.

Properties
total magnetization = 1.48 μB/f.u.
formation energy = -0.0597 eV per atom

Structure (CIF):
```
data_Cr2PRh
_symmetry_space_group_name_H-M 'P 1'
_symmetry_Int_Tables_number 1
_cell_length_a 4.029
_cell_length_b 3.496
_cell_length_c 3.496
_cell_angle_alpha 90.00
_cell_angle_beta 90.00
_cell_angle_gamma 90.00
loop_
_symmetry_equiv_pos_as_xyz
'x,y,z'
loop_
_atom_site_label
_atom_site_type_symbol
_atom_site_fract_x
_atom_site_fract_y
_atom_site_fract_z
Rh1 Rh 0.500 0.000 0.500
Cr1 Cr 0.000 0.000 0.000
Cr2 Cr 0.000 0.500 0.500
P1 P 0.500 0.500 0.000
```

2.
Computed, not measured: crystalline ThMnGe2Rh at its relaxed geometry at the GGA-PBE level of DFT.

Properties
total magnetization = 3.50 μB/f.u.
formation energy = -0.6552 eV per atom

Structure (CIF):
```
data_ThMnGe2Rh
_symmetry_space_group_name_H-M 'P 1'
_symmetry_Int_Tables_number 1
_cell_length_a 4.192
_cell_length_b 4.192
_cell_length_c 6.036
_cell_angle_alpha 110.32
_cell_angle_beta 110.32
_cell_angle_gamma 90.00
loop_
_symmetry_equiv_pos_as_xyz
'x,y,z'
loop_
_atom_site_label
_atom_site_type_symbol
_atom_site_fract_x
_atom_site_fract_y
_atom_site_fract_z
Rh1 Rh 0.250 0.750 0.500
Th1 Th 0.000 0.000 0.000
Ge1 Ge 0.620 0.620 0.241
Ge2 Ge 0.380 0.380 0.759
Mn1 Mn 0.750 0.250 0.500
```

3.
Computed, not measured: crystalline Er5In4Ir at its relaxed geometry at the GGA-PBE level of DFT.

Properties
total magnetization = 0.14 μB/f.u.
formation energy = -0.5582 eV per atom

Structure (CIF):
```
data_Er5In4Ir
_symmetry_space_group_name_H-M 'P 1'
_symmetry_Int_Tables_number 1
_cell_length_a 3.465
_cell_length_b 3.465
_cell_length_c 20.535
_cell_angle_alpha 90.00
_cell_angle_beta 90.00
_cell_angle_gamma 90.00
loop_
_symmetry_equiv_pos_as_xyz
'x,y,z'
loop_
_atom_site_label
_atom_site_type_symbol
_atom_site_fract_x
_atom_site_fract_y
_atom_site_fract_z
Er1 Er 0.500 0.500 0.500
Er2 Er 0.500 0.500 0.079
Er3 Er 0.500 0.500 0.709
Er4 Er 0.500 0.500 0.921
Er5 Er 0.500 0.500 0.291
In1 In 0.000 0.000 0.396
In2 In 0.000 0.000 0.604
In3 In 0.000 0.000 0.188
In4 In 0.000 0.000 0.812
Ir1 Ir 0.000 0.000 0.000
```

4.
Computed, not measured: crystalline PmHoGaIr at its relaxed geometry at the GGA-PBE level of DFT.

Properties
offset from the most stable computed form = 91.3 meV/atom
total magnetization = 0.00 μB/f.u.
formation energy = -0.6122 eV per atom

Structure (CIF):
```
data_PmHoGaIr
_symmetry_space_group_name_H-M 'P 1'
_symmetry_Int_Tables_number 1
_cell_length_a 5.013
_cell_length_b 5.013
_cell_length_c 5.013
_cell_angle_alpha 60.00
_cell_angle_beta 60.00
_cell_angle_gamma 60.00
loop_
_symmetry_equiv_pos_as_xyz
'x,y,z'
loop_
_atom_site_label
_atom_site_type_symbol
_atom_site_fract_x
_atom_site_fract_y
_atom_site_fract_z
Ir1 Ir 0.750 0.750 0.750
Ga1 Ga 0.250 0.250 0.250
Pm1 Pm 0.500 0.500 0.500
Ho1 Ho 0.000 0.000 0.000
```

5.
Computed, not measured: crystalline SmMg7Ni5 at its relaxed geometry at the GGA-PBE level of DFT.

Properties
total magnetization = 0.00 μB/f.u.
formation energy = -0.1568 eV per atom

Structure (CIF):
```
data_SmMg7Ni5
_symmetry_space_group_name_H-M 'P 1'
_symmetry_Int_Tables_number 1
_cell_length_a 5.310
_cell_length_b 6.973
_cell_length_c 6.973
_cell_angle_alpha 81.13
_cell_angle_beta 67.62
_cell_angle_gamma 67.62
loop_
_symmetry_equiv_pos_as_xyz
'x,y,z'
loop_
_atom_site_label
_atom_site_type_symbol
_atom_site_fract_x
_atom_site_fract_y
_atom_site_fract_z
Ni1 Ni 0.998 0.999 0.521
Ni2 Ni 0.721 0.779 0.779
Ni3 Ni 0.998 0.521 0.999
Ni4 Ni 0.481 0.999 0.521
Ni5 Ni 0.481 0.521 0.999
Mg1 Mg 0.363 0.637 0.637
Mg2 Mg 0.502 0.794 0.202
Mg3 Mg 0.502 0.202 0.794
Mg4 Mg 0.977 0.684 0.363
Mg5 Mg 0.977 0.363 0.684
Mg6 Mg 0.266 0.234 0.234
Mg7 Mg 0.687 0.313 0.313
Sm1 Sm 0.047 0.953 0.953
```

6.
Computed, not measured: crystalline NdSnTe2 at its relaxed geometry at the GGA-PBE level of DFT.

Properties
total magnetization = 0.45 μB/f.u.
E_form (uncorrected) = -762 meV/atom

Structure (CIF):
```
data_NdSnTe2
_symmetry_space_group_name_H-M 'P 1'
_symmetry_Int_Tables_number 1
_cell_length_a 5.018
_cell_length_b 4.155
_cell_length_c 12.535
_cell_angle_alpha 99.54
_cell_angle_beta 90.00
_cell_angle_gamma 90.00
loop_
_symmetry_equiv_pos_as_xyz
'x,y,z'
loop_
_atom_site_label
_atom_site_type_symbol
_atom_site_fract_x
_atom_site_fract_y
_atom_site_fract_z
Nd1 Nd 0.250 0.445 0.890
Nd2 Nd 0.750 0.555 0.110
Sn1 Sn 0.750 0.812 0.624
Sn2 Sn 0.250 0.188 0.376
Te1 Te 0.750 0.685 0.369
Te2 Te 0.250 0.057 0.113
Te3 Te 0.250 0.315 0.631
Te4 Te 0.750 0.943 0.887
```

7.
Computed, not measured: crystalline Tb2Er3Tm6Zr at its relaxed geometry at the GGA-PBE level of DFT.

Properties
total magnetization = 0.00 μB/f.u.
formation energy = 0.0447 eV per atom

Structure (CIF):
```
data_Tb2Er3Tm6Zr
_symmetry_space_group_name_H-M 'P 1'
_symmetry_Int_Tables_number 1
_cell_length_a 6.016
_cell_length_b 6.016
_cell_length_c 11.507
_cell_angle_alpha 94.98
_cell_angle_beta 94.98
_cell_angle_gamma 119.91
loop_
_symmetry_equiv_pos_as_xyz
'x,y,z'
loop_
_atom_site_label
_atom_site_type_symbol
_atom_site_fract_x
_atom_site_fract_y
_atom_site_fract_z
Zr1 Zr 0.000 0.000 0.000
Tm1 Tm 0.245 0.245 0.754
Tm2 Tm 0.918 0.591 0.754
Tm3 Tm 0.755 0.755 0.246
Tm4 Tm 0.082 0.409 0.246
Tm5 Tm 0.409 0.082 0.246
Tm6 Tm 0.591 0.918 0.754
Er1 Er 0.833 0.167 0.500
Er2 Er 0.167 0.833 0.500
Er3 Er 0.500 0.500 0.500
Tb1 Tb 0.667 0.333 0.000
Tb2 Tb 0.333 0.667 0.000
```

8.
Computed, not measured: crystalline SrPRuAu at its relaxed geometry at the GGA-PBE level of DFT.

Properties
offset from the most stable computed form = 197.3 meV/atom
total magnetization = 0.00 μB/f.u.
formation energy = -0.2243 eV per atom

Structure (CIF):
```
data_SrPRuAu
_symmetry_space_group_name_H-M 'P 1'
_symmetry_Int_Tables_number 1
_cell_length_a 3.731
_cell_length_b 3.782
_cell_length_c 7.907
_cell_angle_alpha 83.33
_cell_angle_beta 76.49
_cell_angle_gamma 60.62
loop_
_symmetry_equiv_pos_as_xyz
'x,y,z'
loop_
_atom_site_label
_atom_site_type_symbol
_atom_site_fract_x
_atom_site_fract_y
_atom_site_fract_z
P1 P 0.479 0.068 0.435
Sr1 Sr 0.691 0.055 0.018
Au1 Au 0.502 0.719 0.726
Ru1 Ru 0.852 0.403 0.355
```

9.
Computed, not measured: crystalline PrPa2Al at its relaxed geometry at the GGA-PBE level of DFT.

Properties
offset from the most stable computed form = 0.0 meV/atom
total magnetization = 0.00 μB/f.u.
formation energy = 0.0805 eV per atom

Structure (CIF):
```
data_PrPa2Al
_symmetry_space_group_name_H-M 'P 1'
_symmetry_Int_Tables_number 1
_cell_length_a 5.024
_cell_length_b 4.487
_cell_length_c 4.487
_cell_angle_alpha 90.00
_cell_angle_beta 90.00
_cell_angle_gamma 90.00
loop_
_symmetry_equiv_pos_as_xyz
'x,y,z'
loop_
_atom_site_label
_atom_site_type_symbol
_atom_site_fract_x
_atom_site_fract_y
_atom_site_fract_z
Pr1 Pr 0.500 0.000 0.000
Pa1 Pa 0.000 0.000 0.500
Pa2 Pa 0.000 0.500 0.000
Al1 Al 0.500 0.500 0.500
```

10.
Computed, not measured: crystalline Ce2AgPt at its relaxed geometry at the GGA-PBE level of DFT.

Properties
total magnetization = 1.86 μB/f.u.
formation energy = -0.4813 eV per atom

Structure (CIF):
```
data_Ce2AgPt
_symmetry_space_group_name_H-M 'P 1'
_symmetry_Int_Tables_number 1
_cell_length_a 4.205
_cell_length_b 4.205
_cell_length_c 7.654
_cell_angle_alpha 74.06
_cell_angle_beta 74.06
_cell_angle_gamma 60.00
loop_
_symmetry_equiv_pos_as_xyz
'x,y,z'
loop_
_atom_site_label
_atom_site_type_symbol
_atom_site_fract_x
_atom_site_fract_y
_atom_site_fract_z
Ag1 Ag 0.501 0.501 0.498
Ce1 Ce 0.261 0.261 0.216
Ce2 Ce 0.072 0.072 0.784
Pt1 Pt 0.666 0.666 0.002
```

11.
Computed, not measured: crystalline UGaCo4Si2 at its relaxed geometry at the GGA-PBE level of DFT.

Properties
total magnetization = 0.02 μB/f.u.
E_form (uncorrected) = -406 meV/atom

Structure (CIF):
```
data_UGaCo4Si2
_symmetry_space_group_name_H-M 'P 1'
_symmetry_Int_Tables_number 1
_cell_length_a 3.898
_cell_length_b 3.898
_cell_length_c 8.253
_cell_angle_alpha 76.34
_cell_angle_beta 76.34
_cell_angle_gamma 60.00
loop_
_symmetry_equiv_pos_as_xyz
'x,y,z'
loop_
_atom_site_label
_atom_site_type_symbol
_atom_site_fract_x
_atom_site_fract_y
_atom_site_fract_z
Si1 Si 0.757 0.757 0.728
Si2 Si 0.243 0.243 0.272
Co1 Co 0.400 0.400 0.800
Co2 Co 0.131 0.131 0.607
Co3 Co 0.600 0.600 0.200
Co4 Co 0.869 0.869 0.393
U1 U 0.000 0.000 0.000
Ga1 Ga 0.500 0.500 0.500
```

12.
Computed, not measured: crystalline Li3SiW at its relaxed geometry at the GGA-PBE level of DFT.

Properties
offset from the most stable computed form = 0.0 meV/atom
total magnetization = 0.00 μB/f.u.
E_form (uncorrected) = 1253 meV/atom

Structure (CIF):
```
data_Li3SiW
_symmetry_space_group_name_H-M 'P 1'
_symmetry_Int_Tables_number 1
_cell_length_a 4.256
_cell_length_b 4.256
_cell_length_c 4.256
_cell_angle_alpha 90.00
_cell_angle_beta 90.00
_cell_angle_gamma 90.00
loop_
_symmetry_equiv_pos_as_xyz
'x,y,z'
loop_
_atom_site_label
_atom_site_type_symbol
_atom_site_fract_x
_atom_site_fract_y
_atom_site_fract_z
W1 W 0.500 0.500 0.500
Li1 Li 0.500 0.000 0.000
Li2 Li 0.000 0.500 0.000
Li3 Li 0.000 0.000 0.500
Si1 Si 0.000 0.000 0.000
```